No. 1
First-principles (GGA-PBE) data for a relaxed MnH2Os crystal, as listed in Alexandria via LeMat-Bulk. Values from VASP.

## Properties
- SG = I-42d, No. 122
- E (eV per atom) = -6.4550
- ΔE to the lowest computed polymorph (kJ/mol of atoms) = 0.00

```
&SYSTEM
  ibrav = 0, nat = 8, ntyp = 3
/
ATOMIC_SPECIES
Mn 54.94 Mn.upf
H 1.01 H.upf
Os 190.23 Os.upf
ATOMIC_POSITIONS angstrom
Mn 0.000 0.000 0.000
Mn 0.000 1.983 1.995
H 2.974 0.872 -0.998
H 0.872 0.991 0.998
H -0.991 1.111 2.993
H 1.111 0.991 4.988
Os 1.983 0.000 1.995
Os 0.000 0.000 3.991
CELL_PARAMETERS angstrom
-1.983 1.983 3.991
1.983 -1.983 3.991
1.983 1.983 -3.991
```


No. 2
First-principles (GGA-PBE) data for a relaxed MnH3Os crystal, as listed in Alexandria via LeMat-Bulk. Values from VASP.

## Properties
- SG = Pm-3m, No. 221
- E (eV per atom) = -5.4802

```
&SYSTEM
  ibrav = 0, nat = 5, ntyp = 3
/
ATOMIC_SPECIES
Mn 54.94 Mn.upf
H 1.01 H.upf
Os 190.23 Os.upf
ATOMIC_POSITIONS angstrom
Mn 0.000 0.000 0.000
H 0.000 0.000 1.612
H 0.000 1.612 0.000
H 1.612 0.000 0.000
Os 1.612 1.612 1.612
CELL_PARAMETERS angstrom
3.225 0.000 0.000
0.000 3.225 0.000
0.000 0.000 3.225
```


> Which value of E does entry 1 give?

-6.4550 eV per atom


> Which of these has the lowest E?

MnH2Os


> Among the records above, which one has the lowest E?

MnH2Os